Li2V3P4H4O19 (PBE with a Hubbard U, relaxed); space group = Pc (7); total DFT energy (no corrections) = -6.81 eV/atom
1.0
8.765 0.000 0.036
0.000 9.341 0.000
-4.243 0.000 9.535
Li V P H O
4 6 8 8 38
Direct
0.739 0.538 0.991
0.239 0.462 0.991
0.143 0.742 0.449
0.643 0.258 0.449
0.665 0.757 0.784
0.165 0.243 0.784
0.272 0.261 0.496
0.772 0.739 0.496
0.825 0.758 0.178
0.325 0.242 0.178
0.470 0.056 0.769
0.368 0.514 0.732
0.970 0.944 0.769
0.868 0.486 0.732
0.114 0.492 0.257
0.066 0.040 0.253
0.614 0.508 0.257
0.566 0.960 0.253
0.736 0.075 0.879
0.604 0.405 0.646
0.236 0.925 0.879
0.104 0.595 0.646
0.873 0.403 0.351
0.799 0.070 0.157
0.373 0.597 0.351
0.299 0.930 0.157
0.759 0.767 0.000
0.636 0.124 0.881
0.259 0.233 0.000
0.518 0.607 0.815
0.325 0.424 0.836
0.490 0.893 0.761
0.331 0.084 0.821
0.136 0.876 0.881
0.018 0.393 0.815
0.410 0.422 0.627
0.431 0.126 0.626
0.215 0.616 0.641
0.825 0.576 0.836
0.990 0.107 0.761
0.831 0.916 0.821
0.141 0.267 0.614
0.910 0.578 0.627
0.931 0.874 0.626
0.381 0.277 0.387
0.715 0.384 0.641
0.254 0.609 0.338
0.641 0.733 0.614
0.132 0.095 0.404
0.088 0.398 0.369
0.881 0.723 0.387
0.193 0.069 0.188
0.034 0.876 0.255
0.154 0.403 0.151
0.754 0.391 0.338
0.632 0.905 0.404
0.588 0.602 0.369
0.958 0.580 0.177
0.900 0.118 0.156
0.693 0.931 0.188
0.534 0.124 0.255
0.654 0.597 0.151
0.458 0.420 0.177
0.400 0.882 0.156